Density functional theory data (GGA-PBE) for ZrW2CI after structural relaxation.

a = 4.8405 Å, b = 4.8405 Å, c = 5.2711 Å
α = 90.00°, β = 90.00°, γ = 90.00°
Last column: nearest neighbours and their distance in Å.
Atoms (fractional coordinates):
Zr 0.0000 0.0000 0.0000  2 I 2.64
W 0.0000 0.5000 0.5000  2 I 2.42
W 0.5000 0.0000 0.5000  2 I 2.42
C 0.5000 0.5000 0.0000  4 Zr 3.42, 8 W 3.58
I 0.0000 0.0000 0.5000  4 W 2.42, 2 Zr 2.64

## Properties
uncorrected energy	-27.8	eV per formula unit
formation energy from raw total energies	335.8	kJ per mole of atoms
total magnetic moment	0.00	Bohr magnetons per cell